# 1
# Dy2RhCl

Dy2RhCl after structural relaxation (PBE, Alexandria via LeMat-Bulk).

Cell: 3.9526 3.9526 22.2313 Å, 90.00 90.00 120.00°
With the nearest neighbours (Å) after each atom.
Fractional coordinates of all 12 atoms:
Dy 0.0000 0.0000 0.2341  3 Rh 2.73
Dy 0.0000 0.0000 0.7659  3 Rh 2.73
Dy 0.3333 0.6667 0.4326  3 Rh 2.73
Dy 0.3333 0.6667 0.9007  3 Rh 2.73
Dy 0.6667 0.3333 0.0993  3 Rh 2.73
Dy 0.6667 0.3333 0.5674  3 Rh 2.73
Rh 0.0000 0.0000 0.5000  6 Dy 2.73
Rh 0.3333 0.6667 0.1667  6 Dy 2.73
Rh 0.6667 0.3333 0.8333  6 Dy 2.73
Cl 0.0000 0.0000 0.0000  6 Dy 3.17
Cl 0.3333 0.6667 0.6667  6 Dy 3.17
Cl 0.6667 0.3333 0.3333  6 Dy 3.17

Properties
- mass density (g cm⁻³) = 7.7
- space-group type = R-3m (166)
- total magnetization (μB per cell) = 0.0

# 2
# Dy4RhS2Cl

Dy4RhS2Cl after structural relaxation (PBE, Alexandria via LeMat-Bulk).

Cell: 6.9184 3.8411 7.0261 Å, 90.00 108.16 90.00°
With the nearest neighbours (Å) after each atom.
Fractional coordinates of all 8 atoms:
Dy 0.2310 0.0000 0.2354  3 S 2.71-2.85, 1 Rh 2.80, 2 Cl 2.91
Dy 0.2342 0.5000 0.7475  3 S 2.75-2.86, 2 Rh 2.75, 1 Cl 2.90
Dy 0.7658 0.5000 0.2525  3 S 2.75-2.86, 2 Rh 2.75, 1 Cl 2.90
Dy 0.7690 0.0000 0.7646  3 S 2.71-2.85, 1 Rh 2.80, 2 Cl 2.91
Rh 0.0000 0.0000 0.5000  6 Dy 2.75-2.80
S 0.0000 0.5000 0.0000  6 Dy 2.71-2.75
S 0.5000 0.0000 0.0000  6 Dy 2.85-2.86
Cl 0.5000 0.5000 0.5000  6 Dy 2.90-2.91

Properties
- mass density (g cm⁻³) = 8.0
- space-group type = P2/m (10)
- total magnetization (μB per cell) = 0.0

# 3
# Dy3RhSeCl

Dy3RhSeCl after structural relaxation (PBE, Alexandria via LeMat-Bulk).

Cell: 8.1841 3.9711 9.8397 Å, 90.00 93.43 90.00°
With the nearest neighbours (Å) after each atom.
Fractional coordinates of all 12 atoms:
Dy 0.1428 0.2500 0.3934  2 Cl 2.69, 1 Rh 2.83
Dy 0.1463 0.2500 0.8198  3 Rh 2.78-2.94, 2 Se 2.94
Dy 0.3180 0.7500 0.1159  2 Rh 2.83, 1 Cl 2.89, 3 Se 2.91-2.98
Dy 0.6820 0.2500 0.8841  2 Rh 2.83, 1 Cl 2.89, 3 Se 2.91-2.98
Dy 0.8537 0.7500 0.1802  3 Rh 2.78-2.94, 2 Se 2.94
Dy 0.8572 0.7500 0.6066  2 Cl 2.69, 1 Rh 2.83
Rh 0.0711 0.2500 0.1087  6 Dy 2.78-2.94, 2 Rh 3.09
Rh 0.9289 0.7500 0.8913  6 Dy 2.78-2.94, 2 Rh 3.09
Se 0.4125 0.7500 0.8353  5 Dy 2.91-2.98
Se 0.5875 0.2500 0.1647  5 Dy 2.91-2.98
Cl 0.3648 0.7500 0.4090  3 Dy 2.69-2.89
Cl 0.6352 0.2500 0.5910  3 Dy 2.69-2.89

Properties
- mass density (g cm⁻³) = 7.3
- space-group type = P2_1/m (11)
- total magnetization (μB per cell) = 0.0

# 4
# SmDyRhCl

SmDyRhCl after structural relaxation (PBE, Alexandria via LeMat-Bulk).

Cell: 3.9739 3.9739 22.7869 Å, 90.00 90.00 120.00°
With the nearest neighbours (Å) after each atom.
Fractional coordinates of all 12 atoms:
Sm 0.0000 0.0000 0.0000  3 Rh 2.77
Sm 0.3333 0.6667 0.6667  3 Rh 2.77
Sm 0.6667 0.3333 0.3333  3 Rh 2.77
Dy 0.0000 0.0000 0.8002  3 Rh 2.73
Dy 0.3333 0.6667 0.4668  3 Rh 2.73
Dy 0.6667 0.3333 0.1335  3 Rh 2.73
Rh 0.0000 0.0000 0.4018  3 Dy 2.73, 3 Sm 2.77
Rh 0.3333 0.6667 0.0685  3 Dy 2.73, 3 Sm 2.77
Rh 0.6667 0.3333 0.7351  3 Dy 2.73, 3 Sm 2.77
Cl 0.0000 0.0000 0.2286  3 Dy 3.16, 3 Sm 3.31
Cl 0.3333 0.6667 0.8953  3 Dy 3.16, 3 Sm 3.31
Cl 0.6667 0.3333 0.5619  3 Dy 3.16, 3 Sm 3.31

Properties
- mass density (g cm⁻³) = 7.2
- space-group type = R3m (160)
- total magnetization (μB per cell) = 0.0

# 5
# DyRuCl6

DyRuCl6 after structural relaxation (PBE, Alexandria via LeMat-Bulk).

Cell: 6.7958 6.7958 6.7958 Å, 55.68 55.68 55.68°
With the nearest neighbours (Å) after each atom.
Fractional coordinates of all 8 atoms:
Dy 0.0000 0.0000 0.0000  6 Cl 2.67
Ru 0.5000 0.5000 0.5000  6 Cl 2.38
Cl 0.1125 0.7288 0.4216  1 Ru 2.38
Cl 0.2712 0.5784 0.8875  1 Ru 2.38
Cl 0.4216 0.1125 0.7288  1 Ru 2.38
Cl 0.5784 0.8875 0.2712  1 Ru 2.38
Cl 0.7288 0.4216 0.1125  1 Ru 2.38
Cl 0.8875 0.2712 0.5784  1 Ru 2.38

Properties
- mass density (g cm⁻³) = 4.0
- space-group type = R-3 (148)
- total magnetization (μB per cell) = 1.0

# 6
# Dy4RuCl5

Dy4RuCl5 after structural relaxation (PBE, Alexandria via LeMat-Bulk).

Cell: 9.2774 9.2774 8.4282 Å, 102.68 102.68 24.06°
With the nearest neighbours (Å) after each atom.
Fractional coordinates of all 10 atoms:
Dy 0.0051 0.0051 0.2275  2 Ru 2.71, 3 Cl 2.90-3.02
Dy 0.3506 0.3506 0.9227  1 Ru 2.64, 4 Cl 2.76-2.81
Dy 0.6494 0.6494 0.0773  1 Ru 2.64, 4 Cl 2.76-2.81
Dy 0.9949 0.9949 0.7725  2 Ru 2.71, 3 Cl 2.90-3.02
Ru 0.5000 0.5000 0.0000  6 Dy 2.64-2.71
Cl 0.1688 0.1688 0.3169  3 Dy 2.76-2.90
Cl 0.1804 0.1804 0.8595  3 Dy 2.81-3.02
Cl 0.5000 0.5000 0.5000  4 Dy 3.02
Cl 0.8196 0.8196 0.1405  3 Dy 2.81-3.02
Cl 0.8312 0.8312 0.6831  3 Dy 2.76-2.90

Properties
- mass density (g cm⁻³) = 5.3
- space-group type = C2/m (12)
- total magnetization (μB per cell) = 0.4

# 7
# Dy3TeRuCl

Dy3TeRuCl after structural relaxation (PBE, Alexandria via LeMat-Bulk).

Cell: 8.5431 4.1321 9.6010 Å, 90.00 95.08 90.00°
With the nearest neighbours (Å) after each atom.
Fractional coordinates of all 12 atoms:
Dy 0.1383 0.2500 0.3263  3 Ru 2.81-2.82, 2 Te 3.12
Dy 0.1438 0.2500 0.8878  2 Cl 2.70, 1 Ru 2.72
Dy 0.3003 0.7500 0.6203  1 Cl 2.84, 2 Ru 2.87, 1 Te 3.14
Dy 0.6997 0.2500 0.3797  1 Cl 2.84, 2 Ru 2.87, 1 Te 3.14
Dy 0.8562 0.7500 0.1122  2 Cl 2.70, 1 Ru 2.72
Dy 0.8617 0.7500 0.6737  3 Ru 2.81-2.82, 2 Te 3.12
Te 0.4115 0.7500 0.3177  5 Dy 3.12-3.23
Te 0.5885 0.2500 0.6823  5 Dy 3.12-3.23
Ru 0.0654 0.2500 0.6072  6 Dy 2.72-2.87
Ru 0.9346 0.7500 0.3928  6 Dy 2.72-2.87
Cl 0.3481 0.7500 0.9173  3 Dy 2.70-2.84
Cl 0.6519 0.2500 0.0827  3 Dy 2.70-2.84

Properties
- mass density (g cm⁻³) = 7.4
- space-group type = P2_1/m (11)
- total magnetization (μB per cell) = 0.0

# 8
# DyS6Cl2

DyS6Cl2 after structural relaxation (PBE, Alexandria via LeMat-Bulk).

Cell: 4.0703 8.0656 9.1518 Å, 113.62 93.23 90.59°
With the nearest neighbours (Å) after each atom.
Fractional coordinates of all 9 atoms:
Dy 0.0000 0.0000 0.0000  4 Cl 2.67-2.70, 2 S 2.77
S 0.1022 0.7217 0.4533  1 S 1.97
S 0.1112 0.4952 0.7179  2 S 1.97-2.08
S 0.1143 0.2815 0.2977  1 S 2.08
S 0.8857 0.7185 0.7023  1 S 2.08
S 0.8888 0.5048 0.2821  2 S 1.97-2.08
S 0.8978 0.2783 0.5467  1 S 1.97
Cl 0.4960 0.1492 0.9042  2 Dy 2.67-2.70
Cl 0.5040 0.8508 0.0958  2 Dy 2.67-2.70

Properties
- mass density (g cm⁻³) = 2.6
- space-group type = P-1 (2)
- total magnetization (μB per cell) = 1.0

# 9
# Dy3SCl7

Dy3SCl7 after structural relaxation (PBE, Alexandria via LeMat-Bulk).

Cell: 8.0147 8.0147 6.6915 Å, 90.00 90.00 120.00°
With the nearest neighbours (Å) after each atom.
Fractional coordinates of all 11 atoms:
Dy 0.0123 0.5062 0.0000  1 S 2.64, 5 Cl 2.66-2.84
Dy 0.4938 0.5062 0.0000  1 S 2.64, 5 Cl 2.66-2.84
Dy 0.4938 0.9877 0.0000  1 S 2.64, 5 Cl 2.66-2.84
S 0.3333 0.6667 0.2111  3 Dy 2.64
Cl 0.1759 0.3518 0.7771  2 Dy 2.66
Cl 0.1759 0.8241 0.7771  2 Dy 2.66
Cl 0.3546 0.1773 0.2023  2 Dy 2.66
Cl 0.6482 0.8241 0.7771  2 Dy 2.66
Cl 0.6667 0.3333 0.7734  3 Dy 2.84
Cl 0.8227 0.1773 0.2023  2 Dy 2.66
Cl 0.8227 0.6454 0.2023  2 Dy 2.66

Properties
- mass density (g cm⁻³) = 3.4
- space-group type = P3m1 (156)
- total magnetization (μB per cell) = 0.0

# 10
# Dy2SCl3

Dy2SCl3 after structural relaxation (PBE, Alexandria via LeMat-Bulk).

Cell: 8.1438 8.1438 11.9479 Å, 121.48 121.48 29.47°
With the nearest neighbours (Å) after each atom.
Fractional coordinates of all 12 atoms:
Dy 0.1019 0.1019 0.4487  2 S 2.73-2.80, 5 Cl 2.77-2.93
Dy 0.3711 0.3711 0.1725  2 S 2.61, 4 Cl 2.61-2.87
Dy 0.6289 0.6289 0.8275  2 S 2.61, 4 Cl 2.61-2.87
Dy 0.8981 0.8981 0.5513  2 S 2.73-2.80, 5 Cl 2.77-2.93
S 0.1088 0.1088 0.6818  4 Dy 2.61-2.80
S 0.8912 0.8912 0.3182  4 Dy 2.61-2.80
Cl 0.1629 0.1629 0.0141  3 Dy 2.76-2.87
Cl 0.2677 0.2677 0.4045  3 Dy 2.77-2.93
Cl 0.4363 0.4363 0.7375  3 Dy 2.61-2.86
Cl 0.5637 0.5637 0.2625  3 Dy 2.61-2.86
Cl 0.7323 0.7323 0.5955  3 Dy 2.77-2.93
Cl 0.8371 0.8371 0.9859  3 Dy 2.76-2.87

Properties
- mass density (g cm⁻³) = 4.7
- space-group type = C2/m (12)
- total magnetization (μB per cell) = 0.0

no.,uncorrected formation energy (eV per atom)
1,-1.19
2,-1.49
3,-1.27
4,-1.16
5,-1.28
6,-1.58
7,-0.99
8,-0.65
9,-2.22
10,-2.04